Entry from Alexandria: an optimized crystal structure of Li2VO2F (PBE+U).

Cell: 6.0120 6.0159 7.9196 Å, 67.93 79.30 60.10°
Site moments in Bohr magnetons follow the coordinates.
Sites, in units of the cell vectors:
Li: 0.1976 0.5809 0.1444  0.00
O: 0.3375 0.6556 0.3526  -0.01
O: 0.1702 0.3397 0.6442  -0.01
F: 0.0004 0.4997 0.9998  0.00
O: 0.3320 0.1594 0.3415  0.02
F: 0.9989 0.0015 0.9993  0.00
Li: 0.6490 0.5857 0.1443  0.00
Li: 0.3341 0.4205 0.8638  0.00
O: 0.5005 0.5023 0.9972  0.00
F: 0.5016 0.0016 0.9969  0.00
O: 0.1667 0.8473 0.6460  -0.01
O: 0.8317 0.1595 0.3536  -0.02
O: 0.6618 0.8490 0.6459  -0.01
Li: 0.8142 0.4175 0.8664  0.00
F: 0.6690 0.3301 0.6644  0.02
Li: 0.8389 0.8935 0.8594  0.00
Li: 0.1720 0.0890 0.1512  0.00
O: 0.8292 0.6527 0.3556  -0.02
Li: 0.6487 0.1249 0.1421  0.00
V: 0.4965 0.7596 0.4941  1.94
V: 0.9993 0.7493 0.5003  1.86
V: 0.0072 0.2504 0.4923  1.92
Li: 0.3473 0.8804 0.8523  0.00
V: 0.4957 0.2500 0.4923  1.93

Calculated values
- DOS at the Fermi energy (states/eV/cell) = 0.0
- energy relative to the lowest polymorph listed for this composition (meV per atom) = 88
- symmetry = No. 1
- magnetic moment (Bohr magnetons per cell) = 8.00